# 1
ScSO4F | Alexandria via LeMat-Bulk | GGA-PBE | optimized geometry; space-group type = No. 12; uncorrected energy = -6.9661 eV per atom; uncorrected formation energy = -2.37 eV/atom; total moment = 0.000 Bohr magnetons per cell
1.0
-0.6676 -5.0203 -1.8797
4.9113 -1.4665 -1.7062
2.1338 -3.5788 4.6962
O S F Sc
8 2 2 2
Cartesian
3.5925 -5.7268 1.7868 O
2.6166 -1.9197 -0.3492 O
4.2232 -6.6110 -0.3820 O
5.7269 -6.8936 1.5206 O
0.6506 -3.1720 -0.4103 O
3.7609 -8.1460 1.4595 O
2.7850 -4.3389 -0.6765 O
2.1542 -3.4546 1.4923 O
2.0880 -3.2803 0.0501 S
4.2895 -6.7854 1.0602 S
0.4671 -0.7700 0.7538 F
5.9104 -9.2957 0.3566 F
3.6337 -5.5927 -2.2852 Sc
2.7438 -4.4729 3.3955 Sc

=====

# 2
ScSO2F | Alexandria via LeMat-Bulk | GGA-PBE | optimized geometry; space-group type = No. 123; uncorrected energy = -5.8229 eV per atom; uncorrected formation energy = -1.37 eV/atom; total moment = 0.000 Bohr magnetons per cell
1.0
-0.0935 -3.3817 -2.4445
3.0388 -1.7308 2.2782
-2.6825 -1.6217 2.3460
F Sc O S
1 1 2 1
Cartesian
-1.3413 -0.8108 1.1730 F
0.0000 0.0000 0.0000 Sc
-0.0468 -1.6909 -1.2223 O
1.5194 -0.8654 1.1391 O
0.1314 -3.3671 1.0899 S

=====

# 3
ScSOF2 | Alexandria via LeMat-Bulk | GGA-PBE | optimized geometry; space-group type = No. 123; uncorrected energy = -5.7896 eV per atom; uncorrected formation energy = -1.96 eV/atom; total moment = 2.954 Bohr magnetons per cell
1.0
-1.0498 3.4923 -1.9603
0.7917 -1.8055 -3.6406
-3.9792 -1.3156 -0.2129
S F Sc O
1 2 1 1
Cartesian
-2.1186 0.1856 -2.9069 S
0.3959 -0.9028 -1.8203 F
-0.5249 1.7462 -0.9801 F
0.0000 0.0000 0.0000 Sc
-1.9896 -0.6578 -0.1064 O